(1)
Here is a relaxed TcPtBr2 crystal from Alexandria via LeMat-Bulk. Energies are from GGA-PBE.

Properties
Space group ... No. 122
Relative energy among the computed polymorphs ... 883 meV/atom

Unit cell a=6.845 b=6.845 c=6.845 alpha=128.04 beta=128.04 gamma=76.55
Positions (direct):
Tc: 0.000 0.000 0.000
Tc: 0.750 0.250 0.500
Pt: 0.250 0.750 0.500
Pt: 0.500 0.500 0.000
Br: 0.107 0.625 0.982
Br: 0.375 0.357 0.482
Br: 0.643 0.125 0.018
Br: 0.875 0.893 0.518


(2)
Here is a relaxed Tc2PtBr crystal from Alexandria via LeMat-Bulk. Energies are from GGA-PBE.

Properties
Space group ... No. 47
Relative energy among the computed polymorphs ... 125 meV/atom

Unit cell a=2.965 b=3.740 c=6.466 alpha=90.00 beta=90.00 gamma=90.00
Positions (direct):
Tc: 0.000 0.000 0.190
Tc: 0.000 0.000 0.810
Pt: 0.500 0.500 0.000
Br: 0.000 0.500 0.500


(3)
Here is a relaxed Tc2PtBr crystal from Alexandria via LeMat-Bulk. Energies are from GGA-PBE.

Properties
Space group ... No. 216
Relative energy among the computed polymorphs ... 629 meV/atom

Unit cell a=4.515 b=4.515 c=4.515 alpha=60.00 beta=60.00 gamma=60.00
Positions (direct):
Tc: 0.000 0.000 0.000
Tc: 0.250 0.250 0.250
Pt: 0.750 0.750 0.750
Br: 0.500 0.500 0.500


(4)
Here is a relaxed Tc2PtBr crystal from Alexandria via LeMat-Bulk. Energies are from GGA-PBE.

Properties
Space group ... No. 225
Relative energy among the computed polymorphs ... 403 meV/atom

Unit cell a=4.463 b=4.463 c=4.463 alpha=60.00 beta=60.00 gamma=60.00
Positions (direct):
Tc: 0.250 0.250 0.250
Tc: 0.750 0.750 0.750
Pt: 0.000 0.000 0.000
Br: 0.500 0.500 0.500


(5)
Here is a relaxed Tc2PtBr crystal from Alexandria via LeMat-Bulk. Energies are from GGA-PBE.

Properties
Space group ... No. 35
Relative energy among the computed polymorphs ... 241 meV/atom

Unit cell a=2.794 b=2.794 c=10.255 alpha=90.00 beta=90.00 gamma=118.18
Positions (direct):
Tc: 0.000 0.000 0.000
Tc: 0.500 0.500 0.203
Pt: 0.000 0.000 0.434
Br: 0.500 0.500 0.756


(6)
Here is a relaxed TcPtBr2 crystal from Alexandria via LeMat-Bulk. Energies are from GGA-PBE.

Properties
Space group ... No. 65
Relative energy among the computed polymorphs ... 738 meV/atom

Unit cell a=3.203 b=3.203 c=9.007 alpha=90.00 beta=90.00 gamma=123.54
Positions (direct):
Tc: 0.000 0.000 0.000
Pt: 0.000 0.000 0.500
Br: 0.500 0.500 0.228
Br: 0.500 0.500 0.772


Q: relative energy among the computed polymorphs of number 1 (TcPtBr2)?
A: 883 meV/atom